--- A ---
{"formula": "CdFeF2", "functional": "PBE with a Hubbard U", "state": "relaxed", "cell": [[6.197, 0.000, 0.000], [0.000, 6.197, 0.000], [3.098, 3.098, 4.919]], "species": ["F", "F", "F", "F", "Fe", "Fe", "Cd", "Cd"], "frac_coords": [[0.380, 0.125, 0.250], [0.370, 0.625, 0.250], [0.375, 0.620, 0.750], [0.875, 0.630, 0.750], [0.500, 0.500, 0.000], [0.250, 0.750, 0.500], [0.000, 0.000, 0.000], [0.750, 0.250, 0.500]], "dos_ef_per_ev_cell": 0.00, "total_magnetization_mub_per_fu": 4.00, "crystal_system": "tetragonal"}

--- B ---
{"formula": "CdFeF2", "functional": "PBE with a Hubbard U", "state": "relaxed", "cell": [[0.000, 3.013, 3.013], [3.013, 0.000, 3.013], [3.013, 3.013, 0.000]], "species": ["F", "F", "Fe", "Cd"], "frac_coords": [[0.250, 0.250, 0.250], [0.750, 0.750, 0.750], [0.000, 0.000, 0.000], [0.500, 0.500, 0.500]], "dos_ef_per_ev_cell": 0.92, "total_magnetization_mub_per_fu": 3.05, "crystal_system": "cubic"}

--- C ---
{"formula": "CdFeF2", "functional": "PBE with a Hubbard U", "state": "relaxed", "cell": [[4.333, 0.462, 7.073], [3.943, -2.609, 6.832], [6.267, -1.216, 5.316]], "species": ["F", "F", "Fe", "Cd"], "frac_coords": [[0.880, 0.880, 0.880], [0.120, 0.120, 0.120], [0.500, 0.500, 0.500], [0.000, 0.000, 0.000]], "dos_ef_per_ev_cell": 1.62, "total_magnetization_mub_per_fu": 3.79, "crystal_system": "trigonal"}

What should be chosen as the most stable of them? Choose A.